Record 1
Compound: SnSbW3
Source: the Alexandria database
Functional: GGA-PBE
Structure: optimized geometry

a = 4.911 Å, b = 4.911 Å, c = 4.911 Å
α = 90.00°, β = 90.00°, γ = 90.00°
Element x y z (fractional)
Sb1 0.000 0.000 0.000
Sn1 0.500 0.500 0.500
W1 0.000 0.500 0.000
W2 0.000 0.000 0.500
W3 0.500 0.000 0.000

Output
Excess energy over the best structure of this formula in the dataset = 0.0 meV per atom
Total energy = -7.0006 eV/atom

---

Record 2
Compound: SnSb3W
Source: the Alexandria database
Functional: GGA-PBE
Structure: optimized geometry

a = 5.292 Å, b = 5.292 Å, c = 5.292 Å
α = 90.00°, β = 90.00°, γ = 90.00°
Each line ends with the local moment (μB).
Element x y z (fractional)
Sb1 0.000 0.500 0.000  -0.01
Sb2 0.000 0.000 0.500  -0.03
Sb3 0.500 0.000 0.000  -0.03
Sn1 0.500 0.500 0.500  0.19
W1 0.000 0.000 0.000  0.41

Output
Excess energy over the best structure of this formula in the dataset = 0.0 meV per atom
Total energy = -5.2045 eV/atom